# La7Tl2Ni2

A geometry-optimized La7Tl2Ni2 structure (GGA-PBE, Alexandria via LeMat-Bulk).

Calculated volume ... 354.0 Å³/f.u.
Mass density ... 7.03 g/cm3
E_tot ... -106.1 eV/cell

Cell: 8.264 11.761 7.283 Å, 90.00 90.00 90.00°
Space group Cmmm (No. 65)
Symmetry-distinct sites (fractional):
1 La 0.000 0.000 0.000 (multiplicity 2)
2 La 0.000 0.500 0.219 (multiplicity 4)
3 La 0.250 0.250 0.248 (multiplicity 8)
4 Tl 0.179 0.000 0.500 (multiplicity 4)
5 Ni 0.000 0.282 0.000 (multiplicity 4)

# La3TlNi

A geometry-optimized La3TlNi structure (GGA-PBE, Alexandria via LeMat-Bulk).

Calculated volume ... 147.3 Å³/f.u.
Mass density ... 7.67 g/cm3
E_tot ... -48.7 eV/cell
Distance to the lowest polymorph of the same formula ... 9 meV per atom

Cell: 6.084 7.190 7.303 Å, 70.81 79.61 80.02°
Space group P-1 (No. 2)
Symmetry-distinct sites (fractional):
1 La 0.183 0.100 0.088 (multiplicity 2)
2 La 0.278 0.167 0.573 (multiplicity 2)
3 La 0.286 0.577 0.176 (multiplicity 2)
4 Tl 0.205 0.633 0.639 (multiplicity 2)
5 Ni 0.413 0.819 0.822 (multiplicity 2)

# La12Tl3Ni5

A geometry-optimized La12Tl3Ni5 structure (GGA-PBE, Alexandria via LeMat-Bulk).

Calculated volume ... 674.8 Å³/f.u.
Mass density ... 6.33 g/cm3
E_tot ... -773.8 eV/cell

Cell: 17.542 17.542 17.542 Å, 90.00 90.00 90.00°
Space group Ia-3d (No. 230)
Symmetry-distinct sites (fractional):
1 La 0.028 0.057 0.649 (multiplicity 96)
2 Tl 0.000 0.250 0.125 (multiplicity 24)
3 Ni 0.000 0.000 0.000 (multiplicity 16)
4 Ni 0.000 0.250 0.375 (multiplicity 24)

# LaTlNi2

A geometry-optimized LaTlNi2 structure (GGA-PBE, Alexandria via LeMat-Bulk).

Calculated volume ... 87.2 Å³/f.u.
Mass density ... 8.77 g/cm3
E_tot ... -59.0 eV/cell

Cell: 4.1458 4.1458 17.5723 Å, 90.00 90.00 120.00°
Space group R3m (No. 160, hexagonal axes)
Symmetry-distinct sites (fractional):
1 La 0.0000 0.0000 0.0000 (multiplicity 3)
2 Tl 0.0000 0.0000 0.8096 (multiplicity 3)
3 Ni 0.0000 0.0000 0.2310 (multiplicity 3)
4 Ni 0.0000 0.0000 0.5614 (multiplicity 3)

# LaTlNi2

A geometry-optimized LaTlNi2 structure (GGA-PBE, Alexandria via LeMat-Bulk).

Calculated volume ... 86.6 Å³/f.u.
Mass density ... 8.83 g/cm3
E_tot ... -38.0 eV/cell

Cell: 3.829 3.851 11.753 Å, 90.00 90.00 90.00°
Space group Imm2 (No. 44)
Symmetry-distinct sites (fractional):
1 La 0.000 0.000 0.000 (multiplicity 2)
2 Tl 0.000 0.500 0.240 (multiplicity 2)
3 Ni 0.000 0.000 0.415 (multiplicity 2)
4 Ni 0.000 0.500 0.789 (multiplicity 2)

# LaTl2Ni2

A geometry-optimized LaTl2Ni2 structure (GGA-PBE, Alexandria via LeMat-Bulk).

Calculated volume ... 111.7 Å³/f.u.
Mass density ... 9.88 g/cm3
E_tot ... -42.9 eV/cell
Distance to the lowest polymorph of the same formula ... 57 meV per atom

Cell: 4.703 4.703 10.106 Å, 90.00 90.00 90.00°
Space group I4/mmm (No. 139)
Symmetry-distinct sites (fractional):
1 La 0.000 0.000 0.000 (multiplicity 2)
2 Tl 0.000 0.000 0.355 (multiplicity 4)
3 Ni 0.000 0.500 0.250 (multiplicity 4)